# Gd2YCo2B2O3 PBE+U relaxed
# Total DFT energy (no corrections): -7.071 eV/atom
# Total moment: 0.0013 μB/atom
data_Gd2YCo2B2O3
_symmetry_space_group_name_H-M 'P 1'
_symmetry_Int_Tables_number 1
_cell_length_a 11.075
_cell_length_b 11.075
_cell_length_c 11.075
_cell_angle_alpha 162.24
_cell_angle_beta 162.24
_cell_angle_gamma 25.22
loop_
_symmetry_equiv_pos_as_xyz
'x,y,z'
loop_
_atom_site_label
_atom_site_fract_x
_atom_site_fract_y
_atom_site_fract_z
Gd1 0.137 0.137 0.000
Gd2 0.863 0.863 0.000
Y1 0.500 0.500 0.000
Co1 0.250 0.750 0.500
Co2 0.750 0.250 0.500
B1 0.289 0.289 0.000
B2 0.711 0.711 0.000
O1 0.000 0.000 0.000
O2 0.398 0.398 0.000
O3 0.602 0.602 0.000